Below is a relaxed Mg6Ag12Ge crystal, with properties calculated at the GGA-PBE level.

a = 7.0791 Å, b = 7.0791 Å, c = 7.0791 Å
α = 91.25°, β = 91.25°, γ = 91.25°
Closest atoms and distances in Å follow each position.
Atoms (fractional coordinates):
Mg: 0.2172 0.7759 0.3851  8 Ag 2.78-3.07, 1 Ge 2.94, 2 Mg 3.06
Mg: 0.2241 0.6149 0.7828  8 Ag 2.78-3.07, 1 Ge 2.94, 2 Mg 3.06
Mg: 0.3851 0.2172 0.7759  8 Ag 2.78-3.07, 1 Ge 2.94, 2 Mg 3.06
Mg: 0.6149 0.7828 0.2241  8 Ag 2.78-3.07, 1 Ge 2.94, 2 Mg 3.06
Mg: 0.7759 0.3851 0.2172  8 Ag 2.78-3.07, 1 Ge 2.94, 2 Mg 3.06
Mg: 0.7828 0.2241 0.6149  8 Ag 2.78-3.07, 1 Ge 2.94, 2 Mg 3.06
Ag: 0.0334 0.2961 0.9401  4 Mg 2.78-2.90, 4 Ag 2.82-3.04
Ag: 0.0599 0.9666 0.7039  4 Mg 2.78-2.90, 4 Ag 2.82-3.04
Ag: 0.1316 0.3467 0.4692  1 Ge 2.80, 4 Ag 2.82-3.00, 4 Mg 2.82-3.07
Ag: 0.2961 0.9401 0.0334  4 Mg 2.78-2.90, 4 Ag 2.82-3.04
Ag: 0.3467 0.4692 0.1316  1 Ge 2.80, 4 Ag 2.82-3.00, 4 Mg 2.82-3.07
Ag: 0.4692 0.1316 0.3467  1 Ge 2.80, 4 Ag 2.82-3.00, 4 Mg 2.82-3.07
Ag: 0.5308 0.8684 0.6533  1 Ge 2.80, 4 Ag 2.82-3.00, 4 Mg 2.82-3.07
Ag: 0.6533 0.5308 0.8684  1 Ge 2.80, 4 Ag 2.82-3.00, 4 Mg 2.82-3.07
Ag: 0.7039 0.0599 0.9666  4 Mg 2.78-2.90, 4 Ag 2.82-3.04
Ag: 0.8684 0.6533 0.5308  1 Ge 2.80, 4 Ag 2.82-3.00, 4 Mg 2.82-3.07
Ag: 0.9401 0.0334 0.2961  4 Mg 2.78-2.90, 4 Ag 2.82-3.04
Ag: 0.9666 0.7039 0.0599  4 Mg 2.78-2.90, 4 Ag 2.82-3.04
Ge: 0.5000 0.5000 0.5000  6 Ag 2.80, 6 Mg 2.94

Values from the calculation:
* ΔH_f (0 K): -99 meV per atom
* M_tot: 0.00 μB/cell

=====

Below is a relaxed Mg2AgGe2 crystal, with properties calculated at the GGA-PBE level.

a = 8.0713 Å, b = 8.0713 Å, c = 8.0713 Å
α = 153.72°, β = 153.72°, γ = 37.51°
Closest atoms and distances in Å follow each position.
Atoms (fractional coordinates):
Mg: 0.1004 0.1004 0.0000  4 Ge 2.93, 4 Ag 3.01, 1 Mg 3.07
Mg: 0.8996 0.8996 0.0000  4 Ge 2.93, 4 Ag 3.01, 1 Mg 3.07
Ag: 0.5000 0.5000 0.0000  8 Mg 3.01
Ge: 0.2500 0.7500 0.5000  4 Ge 2.60
Ge: 0.7500 0.2500 0.5000  4 Ge 2.60

Values from the calculation:
* ΔH_f (0 K): 33 meV per atom
* M_tot: 0.00 μB/cell
* energy above the lowest structure with this stoichiometry: 122.0 meV per atom

=====

- Among the records above, which one has the lowest ΔH_f (0 K)?
  Mg6Ag12Ge

=====

Copy entry 2 word for word.
Below is a relaxed Mg2AgGe2 crystal, with properties calculated at the GGA-PBE level.

a = 8.0713 Å, b = 8.0713 Å, c = 8.0713 Å
α = 153.72°, β = 153.72°, γ = 37.51°
Closest atoms and distances in Å follow each position.
Atoms (fractional coordinates):
Mg: 0.1004 0.1004 0.0000  4 Ge 2.93, 4 Ag 3.01, 1 Mg 3.07
Mg: 0.8996 0.8996 0.0000  4 Ge 2.93, 4 Ag 3.01, 1 Mg 3.07
Ag: 0.5000 0.5000 0.0000  8 Mg 3.01
Ge: 0.2500 0.7500 0.5000  4 Ge 2.60
Ge: 0.7500 0.2500 0.5000  4 Ge 2.60

Values from the calculation:
* ΔH_f (0 K): 33 meV per atom
* M_tot: 0.00 μB/cell
* energy above the lowest structure with this stoichiometry: 122.0 meV per atom